Record 1
Material: CaLaZn2
Method: DFT, PBE-GGA
State: optimized geometry

Cell and atoms, written as POSCAR:
```
CaLaZn2
1.0
-5.909 -0.569 -1.184
-3.408 -2.428 4.374
4.138 4.401 -0.389
Zn Ca La
2 1 1
Cartesian
0.000 0.000 0.000
-1.964 0.237 2.790
-4.658 -1.498 1.595
-3.215 1.167 0.011
```

Results
* mass density: 4.92 g cm⁻³
* VASP energy: -2.413 eV/atom
* offset from the most stable computed form: 0.266 eV/atom
* calculated formation energy: -43.6 meV/atom


Record 2
Material: Pa4GeSeS2
Method: DFT, PBE-GGA
State: optimized geometry

Cell and atoms, written as POSCAR:
```
Pa4GeSeS2
1.0
-1.168 -3.880 0.328
1.662 0.056 6.583
-5.477 1.976 3.875
Pa Ge Se S
4 1 1 2
Cartesian
-2.800 1.516 7.960
-2.183 -3.363 2.827
-0.619 -1.421 6.179
-4.364 -0.427 4.607
0.247 -1.912 3.456
-1.908 1.016 5.229
-5.477 1.976 3.875
-3.323 -0.952 2.102
```

Results
* mass density: 10.46 g cm⁻³
* VASP energy: -8.035 eV/atom


Record 3
Material: SrZn6
Method: DFT, PBE-GGA
State: optimized geometry

Cell and atoms, written as POSCAR:
```
SrZn6
1.0
-4.979 -0.167 -3.360
2.083 -5.583 0.773
-1.274 2.421 5.349
Sr Zn
1 6
Cartesian
0.000 0.000 0.000
-0.320 -3.018 2.415
-1.246 -3.665 0.238
-1.159 -1.017 3.559
-3.850 -0.311 0.348
-2.924 0.337 2.526
-3.011 -2.312 -0.796
```

Results
* mass density: 4.77 g cm⁻³
* VASP energy: -1.233 eV/atom
* offset from the most stable computed form: 0.260 eV/atom
* calculated formation energy: 99.0 meV/atom


Repeat the third record exactly.
Material: SrZn6
Method: DFT, PBE-GGA
State: optimized geometry

Cell and atoms, written as POSCAR:
```
SrZn6
1.0
-4.979 -0.167 -3.360
2.083 -5.583 0.773
-1.274 2.421 5.349
Sr Zn
1 6
Cartesian
0.000 0.000 0.000
-0.320 -3.018 2.415
-1.246 -3.665 0.238
-1.159 -1.017 3.559
-3.850 -0.311 0.348
-2.924 0.337 2.526
-3.011 -2.312 -0.796
```

Results
* mass density: 4.77 g cm⁻³
* VASP energy: -1.233 eV/atom
* offset from the most stable computed form: 0.260 eV/atom
* calculated formation energy: 99.0 meV/atom


- Among the records above, which one has the highest VASP energy?
  SrZn6


- What is the mass density in the third record?
  4.77 g cm⁻³


- Which of these has the lowest VASP energy?
  Pa4GeSeS2